Record 1
# GGA-PBE Tm12Zn3Pb5, optimized geometry
data_Tm12Zn3Pb5
_chemical_formula_sum 'Tm48 Zn12 Pb20'
_symmetry_space_group_name_H-M 'P 1'
_symmetry_Int_Tables_number 1
_cell_length_a 15.180
_cell_length_b 15.180
_cell_length_c 15.180
_cell_angle_alpha 109.47
_cell_angle_beta 109.47
_cell_angle_gamma 109.47
loop_
_symmetry_equiv_pos_as_xyz
'x,y,z'
loop_
_atom_site_label
_atom_site_type_symbol
_atom_site_fract_x
_atom_site_fract_y
_atom_site_fract_z
Tm1 Tm 0.063 0.230 0.130
Tm2 Tm 0.063 0.333 0.933
Tm3 Tm 0.067 0.630 0.400
Tm4 Tm 0.067 0.937 0.667
Tm5 Tm 0.100 0.730 0.667
Tm6 Tm 0.100 0.870 0.433
Tm7 Tm 0.130 0.063 0.230
Tm8 Tm 0.130 0.567 0.900
Tm9 Tm 0.167 0.230 0.600
Tm10 Tm 0.167 0.437 0.567
Tm11 Tm 0.230 0.130 0.063
Tm12 Tm 0.230 0.600 0.167
Tm13 Tm 0.270 0.333 0.900
Tm14 Tm 0.270 0.437 0.370
Tm15 Tm 0.333 0.900 0.270
Tm16 Tm 0.333 0.933 0.063
Tm17 Tm 0.370 0.270 0.437
Tm18 Tm 0.370 0.600 0.933
Tm19 Tm 0.400 0.067 0.630
Tm20 Tm 0.400 0.833 0.770
Tm21 Tm 0.433 0.100 0.870
Tm22 Tm 0.433 0.833 0.563
Tm23 Tm 0.437 0.370 0.270
Tm24 Tm 0.437 0.567 0.167
Tm25 Tm 0.563 0.433 0.833
Tm26 Tm 0.563 0.630 0.730
Tm27 Tm 0.567 0.167 0.437
Tm28 Tm 0.567 0.900 0.130
Tm29 Tm 0.600 0.167 0.230
Tm30 Tm 0.600 0.933 0.370
Tm31 Tm 0.630 0.400 0.067
Tm32 Tm 0.630 0.730 0.563
Tm33 Tm 0.667 0.067 0.937
Tm34 Tm 0.667 0.100 0.730
Tm35 Tm 0.730 0.563 0.630
Tm36 Tm 0.730 0.667 0.100
Tm37 Tm 0.770 0.400 0.833
Tm38 Tm 0.770 0.870 0.937
Tm39 Tm 0.833 0.563 0.433
Tm40 Tm 0.833 0.770 0.400
Tm41 Tm 0.870 0.433 0.100
Tm42 Tm 0.870 0.937 0.770
Tm43 Tm 0.900 0.130 0.567
Tm44 Tm 0.900 0.270 0.333
Tm45 Tm 0.933 0.063 0.333
Tm46 Tm 0.933 0.370 0.600
Tm47 Tm 0.937 0.667 0.067
Tm48 Tm 0.937 0.770 0.870
Zn1 Zn 0.125 0.250 0.375
Zn2 Zn 0.125 0.375 0.750
Zn3 Zn 0.250 0.375 0.125
Zn4 Zn 0.250 0.875 0.625
Zn5 Zn 0.375 0.125 0.250
Zn6 Zn 0.375 0.750 0.125
Zn7 Zn 0.625 0.250 0.875
Zn8 Zn 0.625 0.875 0.750
Zn9 Zn 0.750 0.125 0.375
Zn10 Zn 0.750 0.625 0.875
Zn11 Zn 0.875 0.625 0.250
Zn12 Zn 0.875 0.750 0.625
Pb1 Pb 0.000 0.000 0.000
Pb2 Pb 0.000 0.000 0.500
Pb3 Pb 0.000 0.500 0.000
Pb4 Pb 0.000 0.500 0.500
Pb5 Pb 0.125 0.750 0.875
Pb6 Pb 0.125 0.875 0.250
Pb7 Pb 0.250 0.125 0.875
Pb8 Pb 0.250 0.625 0.375
Pb9 Pb 0.375 0.250 0.625
Pb10 Pb 0.375 0.625 0.750
Pb11 Pb 0.500 0.000 0.000
Pb12 Pb 0.500 0.000 0.500
Pb13 Pb 0.500 0.500 0.000
Pb14 Pb 0.500 0.500 0.500
Pb15 Pb 0.625 0.375 0.250
Pb16 Pb 0.625 0.750 0.375
Pb17 Pb 0.750 0.375 0.625
Pb18 Pb 0.750 0.875 0.125
Pb19 Pb 0.875 0.125 0.750
Pb20 Pb 0.875 0.250 0.125
# Calculated formation energy ... 0.206 eV/atom
# SG ... No. 230
# Uncorrected energy ... -287.6 eV/cell

Record 2
# GGA-PBE Tm2ZnPb, optimized geometry
data_Tm2ZnPb
_chemical_formula_sum 'Tm4 Zn2 Pb2'
_symmetry_space_group_name_H-M 'P 1'
_symmetry_Int_Tables_number 1
_cell_length_a 6.085
_cell_length_b 4.372
_cell_length_c 8.205
_cell_angle_alpha 90.00
_cell_angle_beta 111.01
_cell_angle_gamma 90.00
loop_
_symmetry_equiv_pos_as_xyz
'x,y,z'
loop_
_atom_site_label
_atom_site_type_symbol
_atom_site_fract_x
_atom_site_fract_y
_atom_site_fract_z
Tm1 Tm 0.193 0.250 0.437
Tm2 Tm 0.223 0.250 0.916
Tm3 Tm 0.777 0.750 0.084
Tm4 Tm 0.807 0.750 0.563
Zn1 Zn 0.335 0.750 0.706
Zn2 Zn 0.665 0.250 0.294
Pb1 Pb 0.328 0.750 0.211
Pb2 Pb 0.672 0.250 0.789
# Calculated formation energy ... -0.360 eV/atom
# SG ... No. 11
# Uncorrected energy ... -30.7 eV/cell

Record 3
# GGA-PBE TmZn4Pb, optimized geometry
data_TmZn4Pb
_chemical_formula_sum 'Tm1 Zn4 Pb1'
_symmetry_space_group_name_H-M 'P 1'
_symmetry_Int_Tables_number 1
_cell_length_a 5.502
_cell_length_b 5.502
_cell_length_c 5.502
_cell_angle_alpha 60.00
_cell_angle_beta 60.00
_cell_angle_gamma 60.00
loop_
_symmetry_equiv_pos_as_xyz
'x,y,z'
loop_
_atom_site_label
_atom_site_type_symbol
_atom_site_fract_x
_atom_site_fract_y
_atom_site_fract_z
Tm1 Tm 0.000 0.000 0.000
Zn1 Zn 0.122 0.626 0.626
Zn2 Zn 0.626 0.122 0.626
Zn3 Zn 0.626 0.626 0.122
Zn4 Zn 0.626 0.626 0.626
Pb1 Pb 0.250 0.250 0.250
# Calculated formation energy ... -0.113 eV/atom
# SG ... No. 216
# Uncorrected energy ... -14.0 eV/cell

Q: Among the records above, which one has the highest uncorrected energy?
A: TmZn4Pb

Q: The highest calculated formation energy belongs to which entry?
A: Tm12Zn3Pb5

Q: calculated formation energy of number 3 (TmZn4Pb)?
A: -0.113 eV/atom

Q: What is the formula in the first record?
A: Tm12Zn3Pb5